A geometry-optimized H7S2Br2 structure. Source: the Alexandria database, functional PBE.

Values from the calculation:
- Total magnetization: 1.01 μB per cell
- Energy: -3.1638 eV/atom

Unit cell a=4.6972 b=7.3020 c=7.3020 alpha=89.92 beta=68.18 gamma=68.18
Element x y z (fractional)
H1 0.5841 0.7434 0.5504
H2 0.4159 0.4496 0.2566
H3 0.4159 0.2566 0.4496
H4 0.5841 0.5504 0.7434
H5 0.5000 0.0000 0.0000
H6 0.2015 0.6485 0.6485
H7 0.7985 0.3515 0.3515
S1 0.6674 0.2610 0.2610
S2 0.3326 0.7390 0.7390
Br1 0.0000 0.3006 0.6994
Br2 0.0000 0.6994 0.3006

A geometry-optimized HSBr structure. Source: the Alexandria database, functional PBE.

Values from the calculation:
- Distance to the lowest polymorph of the same formula: 0 meV per atom
- Total magnetization: 0.00 μB per cell

Unit cell a=17.8852 b=4.7896 c=4.8844 alpha=119.41 beta=90.00 gamma=90.00
Element x y z (fractional)
H1 0.3694 0.8229 0.1505
H2 0.8694 0.6771 0.3495
H3 0.6306 0.1771 0.8495
H4 0.1306 0.3229 0.6505
S1 0.6424 0.3267 0.6788
S2 0.1424 0.1733 0.8212
S3 0.3576 0.6733 0.3212
S4 0.8576 0.8267 0.1788
Br1 0.8954 0.3916 0.7138
Br2 0.3954 0.1084 0.7862
Br3 0.1046 0.6084 0.2862
Br4 0.6046 0.8916 0.2138

A geometry-optimized H3SBr structure. Source: the Alexandria database, functional PBE.

Values from the calculation:
- Distance to the lowest polymorph of the same formula: 1360 meV per atom
- Total magnetization: 1.03 μB per cell

Unit cell a=3.7802 b=3.7802 c=3.7802 alpha=90.00 beta=90.00 gamma=90.00
Element x y z (fractional)
H1 0.0000 0.5000 0.0000
H2 0.0000 0.0000 0.5000
H3 0.5000 0.0000 0.0000
S1 0.5000 0.5000 0.5000
Br1 0.0000 0.0000 0.0000

A geometry-optimized HS6Br structure. Source: the Alexandria database, functional PBE.

Values from the calculation:
- Total magnetization: 0.00 μB per cell
- Energy: -3.5846 eV/atom

Unit cell a=4.3226 b=5.7769 c=28.0914 alpha=125.58 beta=67.83 gamma=62.88
Element x y z (fractional)
H1 0.0000 0.0000 0.0000
S1 0.3612 0.0968 0.6862
S2 0.2691 0.8814 0.8339
S3 0.1959 0.4306 0.0944
S4 0.7309 0.1186 0.1661
S5 0.6388 0.9032 0.3138
S6 0.8041 0.5694 0.9056
Br1 0.0000 0.5000 0.5000

A geometry-optimized HSBr structure. Source: the Alexandria database, functional PBE.

Values from the calculation:
- Distance to the lowest polymorph of the same formula: 445 meV per atom
- Total magnetization: 0.00 μB per cell

Unit cell a=2.4038 b=6.0759 c=10.7667 alpha=72.47 beta=79.18 gamma=89.85
Element x y z (fractional)
H1 0.9165 0.2569 0.7934
H2 0.0832 0.1510 0.8009
S1 0.7704 0.8040 0.5747
S2 0.2290 0.6015 0.0215
Br1 0.1231 0.0135 0.1491
Br2 0.8746 0.3525 0.4470

A geometry-optimized H2S4Br structure. Source: the Alexandria database, functional PBE.

Values from the calculation:
- Total magnetization: 2.04 μB per cell
- Energy: -3.4917 eV/atom

Unit cell a=7.9825 b=7.9971 c=10.9974 alpha=93.94 beta=94.04 gamma=147.25
Element x y z (fractional)
H1 0.7317 0.5470 0.3299
H2 0.1135 0.2496 0.6683
H3 0.8046 0.4902 0.8309
H4 0.4988 0.8622 0.1687
S1 0.5670 0.7146 0.5635
S2 0.4240 0.5618 0.7212
S3 0.3351 0.1229 0.4271
S4 0.8110 0.1726 0.2217
S5 0.0661 0.7286 0.7796
S6 0.9698 0.8085 0.2785
S7 0.9639 0.3158 0.0639
S8 0.3806 0.0929 0.9282
Br1 0.4448 0.8861 0.5088
Br2 0.1391 0.1972 0.0098

A geometry-optimized HS2Br structure. Source: the Alexandria database, functional PBE.

Values from the calculation:
- Distance to the lowest polymorph of the same formula: 765 meV per atom
- Total magnetization: 0.00 μB per cell

Unit cell a=4.6810 b=4.6810 c=7.3030 alpha=71.31 beta=71.31 gamma=90.00
Element x y z (fractional)
H1 0.5000 0.5000 0.0000
H2 0.2500 0.7500 0.5000
S1 0.3750 0.1250 0.2500
S2 0.3750 0.6250 0.2500
S3 0.3750 0.6250 0.7500
S4 0.8750 0.6250 0.7500
Br1 0.0000 0.0000 0.0000
Br2 0.7500 0.2500 0.5000

A geometry-optimized HSBr3 structure. Source: the Alexandria database, functional PBE.

Values from the calculation:
- Distance to the lowest polymorph of the same formula: 369 meV per atom
- Total magnetization: 0.00 μB per cell

Unit cell a=4.6147 b=4.6147 c=4.6147 alpha=90.00 beta=90.00 gamma=90.00
Element x y z (fractional)
H1 0.0000 0.0000 0.0000
S1 0.5000 0.5000 0.5000
Br1 0.0000 0.5000 0.0000
Br2 0.0000 0.0000 0.5000
Br3 0.5000 0.0000 0.0000

A geometry-optimized H3SBr structure. Source: the Alexandria database, functional PBE.

Values from the calculation:
- Distance to the lowest polymorph of the same formula: 841 meV per atom
- Total magnetization: 0.00 μB per cell

Unit cell a=3.6700 b=3.6700 c=3.6700 alpha=90.00 beta=90.00 gamma=90.00
Element x y z (fractional)
H1 0.0000 0.5000 0.0000
H2 0.0000 0.0000 0.5000
H3 0.5000 0.0000 0.0000
S1 0.0000 0.0000 0.0000
Br1 0.5000 0.5000 0.5000

A geometry-optimized H6SBr3 structure. Source: the Alexandria database, functional PBE.

Values from the calculation:
- Total magnetization: 0.00 μB per cell
- Energy: -2.8898 eV/atom

Unit cell a=4.9678 b=5.0464 c=14.1624 alpha=90.00 beta=90.07 gamma=90.00
Element x y z (fractional)
H1 0.7901 0.2074 0.9993
H2 0.7099 0.2925 0.5006
H3 0.7945 0.2952 0.2501
H4 0.2055 0.7048 0.7499
H5 0.2901 0.7075 0.4994
H6 0.2099 0.7926 0.0007
H7 0.2901 0.2926 0.4993
H8 0.2099 0.2075 0.0006
H9 0.2945 0.2048 0.7501
H10 0.7055 0.7952 0.2499
H11 0.7901 0.7925 0.9994
H12 0.7099 0.7074 0.5007
S1 0.5000 0.5000 0.5000
S2 0.0000 0.0000 0.0000
Br1 0.5093 0.9980 0.7503
Br2 0.5000 0.5000 0.0000
Br3 0.4907 0.0020 0.2497
Br4 0.0093 0.5020 0.2503
Br5 0.0000 0.0000 0.5000
Br6 0.9907 0.4980 0.7497

A geometry-optimized H3S2Br2 structure. Source: the Alexandria database, functional PBE.

Values from the calculation:
- Total magnetization: 0.00 μB per cell
- Energy: -2.8326 eV/atom

Unit cell a=3.0635 b=9.0538 c=9.0297 alpha=143.37 beta=99.77 gamma=90.00
Element x y z (fractional)
H1 0.0000 0.0000 0.0000
H2 0.6766 0.2477 0.3532
H3 0.3234 0.7523 0.6468
S1 0.8575 0.8569 0.7150
S2 0.1425 0.1431 0.2850
Br1 0.5445 0.6918 0.0889
Br2 0.4555 0.3082 0.9111

A geometry-optimized HSBr3 structure. Source: the Alexandria database, functional PBE.

Values from the calculation:
- Distance to the lowest polymorph of the same formula: 0 meV per atom
- Total magnetization: 0.87 μB per cell

Unit cell a=5.1159 b=5.1159 c=5.1159 alpha=90.00 beta=90.00 gamma=90.00
Element x y z (fractional)
H1 0.5000 0.5000 0.5000
S1 0.0000 0.0000 0.0000
Br1 0.0000 0.5000 0.0000
Br2 0.0000 0.0000 0.5000
Br3 0.5000 0.0000 0.0000